(1)
Here is a relaxed structure of Nd12Dy6Th from Alexandria via LeMat-Bulk. Energies are from PBE.

The space group is R-3m (No. 166, hexagonal axes) and the conventional cell measures 13.3547, 13.3547 and 12.9105 Å, with angles of 90.00, 90.00 and 120.00 degrees. Symmetry generates all atoms from Nd at (0.0000, 0.2624, 0.0000), Nd at (0.0572, 0.5286, 0.1130), Dy at (0.0878, 0.1755, 0.7724) and Th at (0.0000, 0.0000, 0.0000).

The calculated formation energy comes out at 0.1277 eV per atom. As for the crystal system: trigonal. For the calculated volume, the calculation gives 1994.1 Å³ per cell.

***

(2)
Here is a relaxed structure of Nd4Dy4Th from Alexandria via LeMat-Bulk. Energies are from PBE.

The space group is I4/mmm (No. 139) and the conventional cell measures 10.8106, 10.8106 and 5.1309 Å, with angles of 90.00, 90.00 and 90.00 degrees. Symmetry generates all atoms from Nd at (0.1635, 0.1635, 0.0000), Dy at (0.0000, 0.3330, 0.5000) and Th at (0.0000, 0.0000, 0.5000).

The calculated formation energy comes out at 0.0368 eV per atom. As for the crystal system: tetragonal. For the calculated volume, the calculation gives 599.6 Å³ per cell.

***

(3)
Here is a relaxed structure of Nd3Dy2Th3 from Alexandria via LeMat-Bulk. Energies are from PBE.

The space group is Pmmm (No. 47) and the conventional cell measures 5.0712, 5.1346 and 10.1711 Å, with angles of 90.00, 90.00 and 90.00 degrees. Symmetry generates all atoms from Nd at (0.0000, 0.0000, 0.0000), Nd at (0.0000, 0.0000, 0.5000), Nd at (0.5000, 0.5000, 0.0000), Dy at (0.5000, 0.0000, 0.2542), Th at (0.0000, 0.5000, 0.2541) and Th at (0.5000, 0.5000, 0.5000).

The calculated formation energy comes out at 0.0603 eV per atom. As for the crystal system: orthorhombic. For the calculated volume, the calculation gives 264.8 Å³ per cell.

***

(4)
Here is a relaxed structure of Nd6Dy12Th from Alexandria via LeMat-Bulk. Energies are from PBE.

The space group is R-3m (No. 166, hexagonal axes) and the conventional cell measures 13.3656, 13.3656 and 12.4808 Å, with angles of 90.00, 90.00 and 120.00 degrees. Symmetry generates all atoms from Nd at (0.0393, 0.5196, 0.1190), Dy at (0.0000, 0.2555, 0.0000), Dy at (0.0904, 0.1809, 0.7591) and Th at (0.0000, 0.0000, 0.5000).

The calculated formation energy comes out at 0.2218 eV per atom. As for the crystal system: trigonal. For the calculated volume, the calculation gives 1930.9 Å³ per cell.

***

(5)
Here is a relaxed structure of NdDy7Th3 from Alexandria via LeMat-Bulk. Energies are from PBE.

The space group is P-1 (No. 2) and the conventional cell measures 6.4508, 6.7002 and 8.6670 Å, with angles of 101.20, 97.21 and 96.64 degrees. Symmetry generates all atoms from Nd at (0.0000, 0.0000, 0.0000), Dy at (0.0000, 0.5000, 0.0000), Dy at (0.0708, 0.2153, 0.6428), Dy at (0.2089, 0.7305, 0.7048), Dy at (0.4922, 0.2328, 0.9239), Th at (0.3232, 0.4491, 0.3370) and Th at (0.5000, 0.0000, 0.5000).

The calculated formation energy comes out at 0.1508 eV per atom. As for the crystal system: triclinic. For the calculated volume, the calculation gives 360.8 Å³ per cell. The value obtained for the excess energy over the best structure of this formula in the dataset is 0.000 eV per atom.

***

(6)
Here is a relaxed structure of Nd2Dy3Th3 from Alexandria via LeMat-Bulk. Energies are from PBE.

The space group is P-62m (No. 189) and the conventional cell measures 9.1316, 9.1316 and 3.6524 Å, with angles of 90.00, 90.00 and 120.00 degrees. Symmetry generates all atoms from Nd at (0.3333, 0.6667, 0.0000), Dy at (0.0000, 0.6059, 0.5000) and Th at (0.0000, 0.2247, 0.0000).

The calculated formation energy comes out at 0.1696 eV per atom. As for the crystal system: hexagonal. For the calculated volume, the calculation gives 263.8 Å³ per cell.

***

(7)
Here is a relaxed structure of Nd3DyTh3 from Alexandria via LeMat-Bulk. Energies are from PBE.

The space group is P6_3/m (No. 176) and the conventional cell measures 9.6160, 9.6160 and 5.9108 Å, with angles of 90.00, 90.00 and 120.00 degrees. Symmetry generates all atoms from Nd at (0.0446, 0.2443, 0.2500), Dy at (0.3333, 0.6667, 0.2500) and Th at (0.1047, 0.4908, 0.7500).

The calculated formation energy comes out at 0.0682 eV per atom. As for the crystal system: hexagonal. For the calculated volume, the calculation gives 473.3 Å³ per cell.

***

(8)
Here is a relaxed structure of Nd3Dy3Th4 from Alexandria via LeMat-Bulk. Energies are from PBE.

The space group is Amm2 (No. 38) and the conventional cell measures 3.9610, 13.1723 and 13.1029 Å, with angles of 90.00, 90.00 and 90.00 degrees. Symmetry generates all atoms from Nd at (0.0000, 0.0000, 0.0000), Nd at (0.5000, 0.2470, 0.4134), Dy at (0.0000, 0.0000, 0.3266), Dy at (0.0000, 0.1633, 0.6643), Th at (0.5000, 0.0000, 0.5331), Th at (0.5000, 0.0000, 0.7953) and Th at (0.5000, 0.1322, 0.1637).

The calculated formation energy comes out at 0.2130 eV per atom. As for the crystal system: orthorhombic. For the calculated volume, the calculation gives 683.6 Å³ per cell.

***

(9)
Here is a relaxed structure of NdDy12Th5 from Alexandria via LeMat-Bulk. Energies are from PBE.

The space group is C2/m (No. 12) and the conventional cell measures 18.5318, 10.6413 and 6.1782 Å, with angles of 90.00, 109.40 and 90.00 degrees. Symmetry generates all atoms from Nd at (0.0000, 0.0000, 0.0000), Dy at (0.0000, 0.1665, 0.5000), Dy at (0.0000, 0.3378, 0.0000), Dy at (0.1665, 0.3350, 0.8326), Dy at (0.1682, 0.1658, 0.3367), Th at (0.0000, 0.5000, 0.5000), Th at (0.1665, 0.5000, 0.3322) and Th at (0.1685, 0.0000, 0.8288).

The calculated formation energy comes out at 0.0449 eV per atom. As for the crystal system: monoclinic. For the calculated volume, the calculation gives 1149.2 Å³ per cell.

***

(10)
Here is a relaxed structure of Nd2Dy2Th from Alexandria via LeMat-Bulk. Energies are from PBE.

The space group is R-3m (No. 166, hexagonal axes) and the conventional cell measures 3.6122, 3.6122 and 43.8758 Å, with angles of 90.00, 90.00 and 120.00 degrees. Symmetry generates all atoms from Nd at (0.0000, 0.0000, 0.2008), Dy at (0.0000, 0.0000, 0.3973) and Th at (0.0000, 0.0000, 0.0000).

The calculated formation energy comes out at 0.0137 eV per atom. As for the crystal system: trigonal. For the calculated volume, the calculation gives 495.8 Å³ per cell. The value obtained for the excess energy over the best structure of this formula in the dataset is 0.000 eV per atom.

***

Q: Look up the calculated formation energy of the tenth one.
A: 0.0137 eV per atom

***

Please write out number 5 again, unchanged.
Here is a relaxed structure of NdDy7Th3 from Alexandria via LeMat-Bulk. Energies are from PBE.

The space group is P-1 (No. 2) and the conventional cell measures 6.4508, 6.7002 and 8.6670 Å, with angles of 101.20, 97.21 and 96.64 degrees. Symmetry generates all atoms from Nd at (0.0000, 0.0000, 0.0000), Dy at (0.0000, 0.5000, 0.0000), Dy at (0.0708, 0.2153, 0.6428), Dy at (0.2089, 0.7305, 0.7048), Dy at (0.4922, 0.2328, 0.9239), Th at (0.3232, 0.4491, 0.3370) and Th at (0.5000, 0.0000, 0.5000).

The calculated formation energy comes out at 0.1508 eV per atom. As for the crystal system: triclinic. For the calculated volume, the calculation gives 360.8 Å³ per cell. The value obtained for the excess energy over the best structure of this formula in the dataset is 0.000 eV per atom.

***

Q: Among the records above, which one has the lowest calculated formation energy?
A: Nd2Dy2Th

***

Q: The lowest calculated volume belongs to which entry?
A: Nd2Dy3Th3